No. 1
The following is a DFT calculation (PBE) of crystalline HfMnIn2 at its relaxed geometry.

abc: 7.7085 7.7085 6.1735
angles: 51.37 51.37 90.00
Closest atoms and distances in Å follow each position.
Fractional coordinates of all 8 atoms:
Hf (0.7500, 0.2500, 0.5000)  2 Mn 2.90, 4 In 2.98
Hf (0.0000, 0.0000, 0.0000)  2 Mn 2.90, 4 In 2.98
Mn (0.2500, 0.7500, 0.5000)  4 In 2.67, 2 Hf 2.90
Mn (0.5000, 0.5000, 0.0000)  4 In 2.67, 2 Hf 2.90
In (0.3750, 0.4049, 0.7500)  2 Mn 2.67, 2 In 2.93, 2 Hf 2.98
In (0.1549, 0.6250, 0.2500)  2 Mn 2.67, 2 In 2.93, 2 Hf 2.98
In (0.8750, 0.8451, 0.7500)  2 Mn 2.67, 2 In 2.93, 2 Hf 2.98
In (0.5951, 0.1250, 0.2500)  2 Mn 2.67, 2 In 2.93, 2 Hf 2.98

D(E_F)	2.91	states/eV/f.u.
uncorrected energy	-5.822	eV per atom

No. 2
The following is a DFT calculation (PBE) of crystalline HfMnIn2 at its relaxed geometry.

abc: 4.7188 4.7188 4.7188
angles: 60.00 60.00 60.00
Closest atoms and distances in Å follow each position.
Fractional coordinates of all 4 atoms:
In (0.2500, 0.2500, 0.2500)  4 Mn 2.89, 4 Hf 2.89
In (0.7500, 0.7500, 0.7500)  4 Mn 2.89, 4 Hf 2.89
Mn (0.0000, 0.0000, 0.0000)  8 In 2.89
Hf (0.5000, 0.5000, 0.5000)  8 In 2.89

D(E_F)	3.60	states/eV/f.u.
uncorrected energy	-5.800	eV per atom

No. 3
The following is a DFT calculation (PBE) of crystalline Hf2MnIn at its relaxed geometry.

abc: 3.1874 3.1874 7.4363
angles: 90.00 90.00 90.00
Closest atoms and distances in Å follow each position.
Fractional coordinates of all 4 atoms:
In (0.5000, 0.5000, 0.5000)  8 Hf 3.15, 4 In 3.19
Mn (0.5000, 0.5000, 0.0000)  8 Hf 2.72
Hf (0.0000, 0.0000, 0.2046)  4 Mn 2.72, 1 Hf 3.04
Hf (0.0000, 0.0000, 0.7954)  4 Mn 2.72, 1 Hf 3.04

energy above the lowest structure with this stoichiometry	0	meV/atom
D(E_F)	1.99	states/eV/f.u.

No. 4
The following is a DFT calculation (PBE) of crystalline Hf5Mn4In at its relaxed geometry.

abc: 3.1952 3.1952 16.7543
angles: 90.00 90.00 90.00
Closest atoms and distances in Å follow each position.
Fractional coordinates of all 10 atoms:
Hf (0.5000, 0.5000, 0.6886)  8 Mn 2.77-2.79, 1 Hf 3.06
Hf (0.5000, 0.5000, 0.8712)  4 Mn 2.67
Hf (0.5000, 0.5000, 0.5000)  8 Mn 2.74
Hf (0.5000, 0.5000, 0.1288)  4 Mn 2.67
Hf (0.5000, 0.5000, 0.3114)  8 Mn 2.77-2.79, 1 Hf 3.06
Mn (0.0000, 0.0000, 0.2141)  8 Hf 2.67-2.79
Mn (0.0000, 0.0000, 0.4070)  8 Hf 2.74-2.77
Mn (0.0000, 0.0000, 0.5930)  8 Hf 2.74-2.77
Mn (0.0000, 0.0000, 0.7859)  8 Hf 2.67-2.79
In (0.0000, 0.0000, 0.0000)  8 Hf 3.12, 4 In 3.20

D(E_F)	9.01	states/eV/f.u.
uncorrected energy	-9.072	eV per atom

No. 5
The following is a DFT calculation (PBE) of crystalline Hf2MnIn at its relaxed geometry.

abc: 3.4987 4.6299 4.6299
angles: 90.00 90.00 90.00
Closest atoms and distances in Å follow each position.
Fractional coordinates of all 4 atoms:
In (0.5000, 0.0000, 0.0000)  8 Hf 2.90
Hf (0.0000, 0.0000, 0.5000)  4 Mn 2.90, 4 In 2.90
Hf (0.0000, 0.5000, 0.0000)  4 Mn 2.90, 4 In 2.90
Mn (0.5000, 0.5000, 0.5000)  8 Hf 2.90

energy above the lowest structure with this stoichiometry	202	meV/atom
D(E_F)	1.29	states/eV/f.u.

No. 6
The following is a DFT calculation (PBE) of crystalline Hf12Mn3In5 at its relaxed geometry.

abc: 13.9243 13.9243 13.9243
angles: 109.47 109.47 109.47
Closest atoms and distances in Å follow each position.
Fractional coordinates of all 80 atoms:
Mn (0.3750, 0.6250, 0.2500)  4 Hf 2.51
Mn (0.2500, 0.6250, 0.8750)  4 Hf 2.51
Mn (0.6250, 0.2500, 0.3750)  4 Hf 2.51
Mn (0.1250, 0.8750, 0.7500)  4 Hf 2.51
Mn (0.7500, 0.8750, 0.6250)  4 Hf 2.51
Mn (0.2500, 0.1250, 0.3750)  4 Hf 2.51
Mn (0.6250, 0.3750, 0.7500)  4 Hf 2.51
Mn (0.7500, 0.3750, 0.1250)  4 Hf 2.51
Mn (0.8750, 0.1250, 0.2500)  4 Hf 2.51
Mn (0.1250, 0.2500, 0.8750)  4 Hf 2.51
Mn (0.8750, 0.7500, 0.1250)  4 Hf 2.51
Mn (0.3750, 0.7500, 0.6250)  4 Hf 2.51
Hf (0.8902, 0.0493, 0.6316)  1 Mn 2.51
Hf (0.1098, 0.1592, 0.2415)  1 Mn 2.51
Hf (0.0823, 0.4507, 0.8408)  1 Mn 2.51
Hf (0.6316, 0.5493, 0.8902)  1 Mn 2.51
Hf (0.5823, 0.2415, 0.1316)  1 Mn 2.51
Hf (0.2585, 0.3902, 0.8408)  1 Mn 2.51
Hf (0.0493, 0.8902, 0.1316)  1 Mn 2.51
Hf (0.1098, 0.9507, 0.3684)  1 Mn 2.51
Hf (0.8684, 0.2585, 0.4177)  1 Mn 2.51
Hf (0.6098, 0.7415, 0.6592)  1 Mn 2.51
Hf (0.5823, 0.3408, 0.9507)  1 Mn 2.51
Hf (0.3408, 0.5823, 0.4507)  1 Mn 2.51
Hf (0.9507, 0.8408, 0.5823)  1 Mn 2.51
Hf (0.4177, 0.6592, 0.0493)  1 Mn 2.51
Hf (0.6098, 0.8684, 0.4507)  1 Mn 2.51
Hf (0.2415, 0.6592, 0.1098)  1 Mn 2.51
Hf (0.8408, 0.8902, 0.2585)  1 Mn 2.51
Hf (0.0823, 0.6316, 0.7415)  1 Mn 2.51
Hf (0.9507, 0.1098, 0.8684)  1 Mn 2.51
Hf (0.3408, 0.7585, 0.3902)  1 Mn 2.51
Hf (0.2415, 0.5823, 0.6316)  1 Mn 2.51
Hf (0.6316, 0.0823, 0.2415)  1 Mn 2.51
Hf (0.4177, 0.7585, 0.8684)  1 Mn 2.51
Hf (0.7415, 0.6098, 0.1592)  1 Mn 2.51
Hf (0.8684, 0.6098, 0.9507)  1 Mn 2.51
Hf (0.5493, 0.6316, 0.3902)  1 Mn 2.51
Hf (0.3684, 0.4507, 0.1098)  1 Mn 2.51
Hf (0.9177, 0.3684, 0.2585)  1 Mn 2.51
Hf (0.4507, 0.0823, 0.3408)  1 Mn 2.51
Hf (0.1316, 0.3902, 0.0493)  1 Mn 2.51
Hf (0.8408, 0.9507, 0.0823)  1 Mn 2.51
Hf (0.9177, 0.5493, 0.1592)  1 Mn 2.51
Hf (0.3902, 0.1316, 0.5493)  1 Mn 2.51
Hf (0.7415, 0.1316, 0.0823)  1 Mn 2.51
Hf (0.5493, 0.9177, 0.6592)  1 Mn 2.51
Hf (0.8902, 0.8408, 0.7585)  1 Mn 2.51
Hf (0.6592, 0.4177, 0.5493)  1 Mn 2.51
Hf (0.7585, 0.4177, 0.3684)  1 Mn 2.51
Hf (0.7585, 0.3408, 0.8902)  1 Mn 2.51
Hf (0.1316, 0.7415, 0.5823)  1 Mn 2.51
Hf (0.3902, 0.2585, 0.3408)  1 Mn 2.51
Hf (0.4507, 0.3684, 0.6098)  1 Mn 2.51
Hf (0.0493, 0.1592, 0.4177)  1 Mn 2.51
Hf (0.6592, 0.2415, 0.6098)  1 Mn 2.51
Hf (0.1592, 0.1098, 0.7415)  1 Mn 2.51
Hf (0.2585, 0.8684, 0.9177)  1 Mn 2.51
Hf (0.3684, 0.9177, 0.7585)  1 Mn 2.51
Hf (0.1592, 0.0493, 0.9177)  1 Mn 2.51
In (0.3750, 0.2500, 0.1250)  4 Hf 2.90
In (0.8750, 0.2500, 0.6250)  4 Hf 2.90
In (0.5000, 0.0000, 0.0000)  6 Hf 2.81
In (0.1250, 0.7500, 0.3750)  4 Hf 2.90
In (0.0000, 0.5000, 0.0000)  6 Hf 2.81
In (0.7500, 0.6250, 0.3750)  4 Hf 2.90
In (0.0000, 0.0000, 0.5000)  6 Hf 2.81
In (0.5000, 0.5000, 0.0000)  6 Hf 2.81
In (0.2500, 0.3750, 0.6250)  4 Hf 2.90
In (0.8750, 0.6250, 0.7500)  4 Hf 2.90
In (0.5000, 0.0000, 0.5000)  6 Hf 2.81
In (0.0000, 0.0000, 0.0000)  6 Hf 2.81
In (0.5000, 0.5000, 0.5000)  6 Hf 2.81
In (0.7500, 0.1250, 0.8750)  4 Hf 2.90
In (0.3750, 0.1250, 0.7500)  4 Hf 2.90
In (0.6250, 0.8750, 0.2500)  4 Hf 2.90
In (0.2500, 0.8750, 0.1250)  4 Hf 2.90
In (0.0000, 0.5000, 0.5000)  6 Hf 2.81
In (0.1250, 0.3750, 0.2500)  4 Hf 2.90
In (0.6250, 0.7500, 0.8750)  4 Hf 2.90

D(E_F)	21.04	states/eV/f.u.
uncorrected energy	-7.263	eV per atom